Entry 1:
DFT (PBE) results for La3VW after structural relaxation.

CIF file:
```
data_La3VW
_chemical_formula_sum 'La3 V1 W1'
_symmetry_space_group_name_H-M 'P m -3 m'
_symmetry_Int_Tables_number 221
_symmetry_space_group_name_Hall '-P 4 2 3'
_cell_length_a 5.335
_cell_length_b 5.335
_cell_length_c 5.335
_cell_angle_alpha 90.00
_cell_angle_beta 90.00
_cell_angle_gamma 90.00
loop_
_atom_site_label
_atom_site_type_symbol
_atom_site_fract_x
_atom_site_fract_y
_atom_site_fract_z
La1 La 0.000 0.000 0.500
V1 V 0.000 0.000 0.000
W1 W 0.500 0.500 0.500
```

Properties
Total magnetic moment in μB per formula unit: 4.87
ΔH_f (0 K) in eV per atom: 1.1899

***

Entry 2:
DFT (PBE) results for RbTa2TlSe after structural relaxation.

CIF file:
```
data_RbTa2TlSe
_chemical_formula_sum 'Rb1 Ta2 Tl1 Se1'
_symmetry_space_group_name_H-M 'P 4/m m m'
_symmetry_Int_Tables_number 123
_symmetry_space_group_name_Hall '-P 4 2'
_cell_length_a 5.277
_cell_length_b 5.277
_cell_length_c 6.247
_cell_angle_alpha 90.00
_cell_angle_beta 90.00
_cell_angle_gamma 90.00
loop_
_atom_site_label
_atom_site_type_symbol
_atom_site_fract_x
_atom_site_fract_y
_atom_site_fract_z
Rb1 Rb 0.000 0.000 0.000
Ta1 Ta 0.000 0.500 0.500
Tl1 Tl 0.000 0.000 0.500
Se1 Se 0.500 0.500 0.000
```

Properties
Total magnetic moment in μB per formula unit: 3.73
Uncorrected formation energy in kJ per mole of atoms: 179.9

***

Entry 3:
DFT (PBE) results for ZrInIr3 after structural relaxation.

CIF file:
```
data_ZrInIr3
_chemical_formula_sum 'Zr1 In1 Ir3'
_symmetry_space_group_name_H-M 'P m -3 m'
_symmetry_Int_Tables_number 221
_symmetry_space_group_name_Hall '-P 4 2 3'
_cell_length_a 4.777
_cell_length_b 4.777
_cell_length_c 4.777
_cell_angle_alpha 90.00
_cell_angle_beta 90.00
_cell_angle_gamma 90.00
loop_
_atom_site_label
_atom_site_type_symbol
_atom_site_fract_x
_atom_site_fract_y
_atom_site_fract_z
Zr1 Zr 0.000 0.000 0.000
In1 In 0.500 0.500 0.500
Ir1 Ir 0.000 0.500 0.500
```

Properties
Total magnetic moment in μB per formula unit: 0.00
Energy above the lowest structure with this stoichiometry in meV/atom: 34
ΔH_f (0 K) in eV per atom: 1.3438

***

Entry 4:
DFT (PBE) results for LaCuIN2 after structural relaxation.

CIF file:
```
data_LaCuIN2
_chemical_formula_sum 'La1 Cu1 I1 N2'
_symmetry_space_group_name_H-M 'P 4/m m m'
_symmetry_Int_Tables_number 123
_symmetry_space_group_name_Hall '-P 4 2'
_cell_length_a 4.242
_cell_length_b 4.242
_cell_length_c 7.001
_cell_angle_alpha 90.00
_cell_angle_beta 90.00
_cell_angle_gamma 90.00
loop_
_atom_site_label
_atom_site_type_symbol
_atom_site_fract_x
_atom_site_fract_y
_atom_site_fract_z
La1 La 0.000 0.000 0.000
Cu1 Cu 0.500 0.500 0.500
I1 I 0.000 0.000 0.500
N1 N 0.000 0.500 0.000
```

Properties
Total magnetic moment in μB per formula unit: 0.32
Energy above the lowest structure with this stoichiometry in meV/atom: 29
Uncorrected formation energy in kJ per mole of atoms: 74.7